Density functional theory data (PBE-GGA) for an optimized crystal structure of Nd6Ho5Th2.

The structure in POSCAR format:
```
Nd6Ho5Th2
1.0
11.657 0.000 0.000
0.000 20.829 0.000
0.000 0.000 3.626
Nd Ho Th
12 10 4
Direct
0.070 0.143 0.000
0.080 0.436 0.000
0.182 0.876 0.500
0.318 0.376 0.500
0.420 0.936 0.000
0.430 0.643 0.000
0.570 0.357 0.000
0.580 0.064 0.000
0.682 0.624 0.500
0.818 0.124 0.500
0.920 0.564 0.000
0.930 0.857 0.000
0.000 0.000 0.500
0.070 0.290 0.500
0.186 0.580 0.500
0.314 0.080 0.500
0.430 0.790 0.500
0.500 0.500 0.500
0.570 0.210 0.500
0.686 0.920 0.500
0.814 0.420 0.500
0.930 0.710 0.500
0.187 0.731 0.000
0.313 0.231 0.000
0.687 0.769 0.000
0.813 0.269 0.000
```

Summary:
The calculation puts the formation energy from the elements at 0.124 eV/atom. Its space group is Pbam, No. 55. For the magnetization, the calculation gives 0.0 μB/f.u. The volume is 33.9 Å³ per atom. The calculation puts the total energy at -0.1830 Ha/atom.